Computed, not measured: a geometry-optimized Ta2SnOsS structure at the PBE level of DFT.

The structure belongs to space group P4/mmm (No. 123); the cell edges are 5.095, 5.095 and 4.769 Å and the angles 90.00°, 90.00° and 90.00°. The asymmetric unit holds Ta at (0.000, 0.500, 0.000), Sn at (0.000, 0.000, 0.000), Os at (0.000, 0.000, 0.500) and S at (0.500, 0.500, 0.500).

As for the density of states at the Fermi level: 10.23 states/eV per cell. The mass density comes out at 9.43 g/cm3. The raw formation energy is 2.44 eV/atom. The calculation puts the electronic total energy at -30.85 eV per cell.

=====

Computed, not measured: a geometry-optimized Cs5K5Hg2 structure at the PBE level of DFT.

The structure belongs to space group C2/m (No. 12); the cell edges are 17.408, 5.394 and 20.786 Å and the angles 90.00°, 107.83° and 90.00°. The asymmetric unit holds Cs at (0.000, 0.000, 0.000), Cs at (0.154, 0.000, 0.395), Cs at (0.183, 0.500, 0.867), K at (0.000, 0.500, 0.500), K at (0.101, 0.500, 0.199), K at (0.141, 0.000, 0.664) and Hg at (0.012, 0.500, 0.682).

As for the density of states at the Fermi level: 21.83 states/eV per cell. The mass density comes out at 2.25 g/cm3. The calculation puts the electronic total energy at -22.20 eV per cell.

=====

For the records above, the corresponding total magnetic moment values read 0.00, 0.00 μB per formula unit.